Entry 1:
! In2CuOs, relaxed, DFT PBE; values from VASP
&SYSTEM
  ibrav = 0, nat = 4, ntyp = 3
/
ATOMIC_SPECIES
In 114.82 In.upf
Os 190.23 Os.upf
Cu 63.55 Cu.upf
CELL_PARAMETERS angstrom
-1.178 -4.394 0.254
2.862 -0.698 1.194
-1.667 0.703 4.418
ATOMIC_POSITIONS angstrom
In -0.799 -2.045 1.785
Os 1.069 -0.133 2.656
Cu -0.155 -2.063 4.462
In -1.167 0.555 4.188
! Size of the total moment ... 0.00 μB/cell
! ρ ... 11.61 g/cm³
! N(E_F) ... 1.99 states/eV per cell
! Formation enthalpy at 0 K ... 1.34 eV/f.u.
! SG ... Pmm2

Entry 2:
! V2ReH, relaxed, DFT PBE; values from VASP
&SYSTEM
  ibrav = 0, nat = 8, ntyp = 3
/
ATOMIC_SPECIES
Re 186.21 Re.upf
V 50.94 V.upf
H 1.01 H.upf
CELL_PARAMETERS angstrom
-0.342 -5.006 -0.764
4.808 -0.561 1.525
1.109 -3.223 3.764
ATOMIC_POSITIONS angstrom
Re 1.500 -5.506 1.690
V 0.750 -2.756 0.845
Re 0.000 0.000 0.000
H 4.075 -3.284 2.835
H 2.233 -2.783 0.381
V 3.706 -4.645 3.489
V 3.155 -3.031 1.608
V 3.540 -7.149 3.109
! Size of the total moment ... 0.00 μB/cell
! Energy above the lowest structure with this stoichiometry ... 30.5 kJ per mole of atoms
! ρ ... 10.37 g/cm³
! N(E_F) ... 13.34 states/eV per cell
! SG ... Fd-3m

Entry 3:
! NbHIBr2, relaxed, DFT PBE; values from VASP
&SYSTEM
  ibrav = 0, nat = 5, ntyp = 4
/
ATOMIC_SPECIES
Br 79.90 Br.upf
Nb 92.91 Nb.upf
H 1.01 H.upf
I 126.90 I.upf
CELL_PARAMETERS angstrom
5.472 0.000 0.000
0.000 3.715 0.000
0.000 0.000 5.472
ATOMIC_POSITIONS angstrom
Br 2.736 0.000 0.000
Nb 0.000 1.857 0.000
Br 0.000 0.000 2.736
H 0.000 0.000 0.000
I 2.736 1.857 2.736
! Size of the total moment ... 1.62 μB/cell
! ρ ... 5.68 g/cm³
! N(E_F) ... 5.30 states/eV per cell
! Total DFT energy (no corrections) ... -3.12 eV/atom
! SG ... P4/mmm